# MnAuF2

MnAuF2 after structural relaxation (GGA+U, the Alexandria database).

Space-group type ... I-42d (122)
DFT total energy ... -4.951 eV/atom
V ... 20.003 A^3/atom
DOS at the Fermi energy ... 0.2 states/eV/cell

a b c (Å): 6.038 6.038 6.123
angles (deg): 60.46 60.46 90.00
Sites, in units of the cell vectors:
F  0.498  0.125  0.250
F  0.875  0.748  0.750
F  0.252  0.625  0.250
F  0.375  0.502  0.750
Mn  0.500  0.500  0.000
Mn  0.250  0.750  0.500
Au  0.000  0.000  0.000
Au  0.750  0.250  0.500